Entry 1:
Here is SmY3S6 after structural relaxation from Alexandria via LeMat-Bulk. Energies are from PBE.

a b c (Å): 11.0846 3.9819 11.3546
angles (deg): 90.00 108.67 90.00
Closest atoms and distances in Å follow each position.
Space group P2_1/m (No. 11)
Inequivalent atoms, fractional coordinates:
Sm (0.0463, 0.2500, 0.1923) [2 per cell]  8 S 2.87-3.04
Y (0.1609, 0.2500, 0.5850) [2 per cell]  6 S 2.67-2.80
Y (0.3182, 0.7500, 0.9975) [2 per cell]  7 S 2.70-2.95
Y (0.4360, 0.2500, 0.3319) [2 per cell]  6 S 2.68-2.79
S (0.0821, 0.7500, 0.4032) [2 per cell]  3 Y 2.74-2.80, 2 Sm 3.04
S (0.1138, 0.2500, 0.9629) [2 per cell]  3 Sm 2.87-2.93, 2 Y 2.95
S (0.1931, 0.7500, 0.7491) [2 per cell]  3 Y 2.67-2.72, 1 Sm 2.93
S (0.2585, 0.7500, 0.2252) [2 per cell]  3 Y 2.79-2.87, 2 Sm 3.01
S (0.3971, 0.2500, 0.5617) [2 per cell]  4 Y 2.72-2.78
S (0.4774, 0.2500, 0.1120) [2 per cell]  4 Y 2.68-2.91

theoretical density: 4.26 Mg/m³
ΔE_f (raw): -2.085 eV per atom
electronic total energy: -139.44 eV for the cell shown

Entry 2:
Here is Sm3Y5S12 after structural relaxation from Alexandria via LeMat-Bulk. Energies are from PBE.

a b c (Å): 16.2093 16.2093 16.2093
angles (deg): 90.00 90.00 90.00
Closest atoms and distances in Å follow each position.
Space group Ia-3d (No. 230)
Inequivalent atoms, fractional coordinates:
Sm (0.0000, 0.2500, 0.1250) [24 per cell]  8 S 2.98-3.07
Y (0.0000, 0.0000, 0.0000) [16 per cell]  6 S 2.74
Y (0.0000, 0.2500, 0.3750) [24 per cell]  4 S 2.56
S (0.0217, 0.0693, 0.6527) [96 per cell]  2 Y 2.56-2.74

theoretical density: 3.99 Mg/m³
ΔE_f (raw): -1.894 eV per atom
electronic total energy: -1071.06 eV for the cell shown

Entry 3:
Here is Sm3Y5S8 after structural relaxation from Alexandria via LeMat-Bulk. Energies are from PBE.

a b c (Å): 7.8970 7.8970 19.4225
angles (deg): 90.00 90.00 120.00
Closest atoms and distances in Å follow each position.
Space group R-3m (No. 166, hexagonal axes)
Inequivalent atoms, fractional coordinates:
Sm (0.0000, 0.5000, 0.0000) [9 per cell]  6 S 2.83
Y (0.0000, 0.0000, 0.0000) [3 per cell]  6 S 2.80
Y (0.0000, 0.0000, 0.5000) [3 per cell]  6 S 2.80
Y (0.0000, 0.5000, 0.5000) [9 per cell]  6 S 2.76
S (0.0000, 0.0000, 0.2468) [6 per cell]  3 Y 2.76, 3 Sm 2.83
S (0.0041, 0.5021, 0.7521) [18 per cell]  4 Y 2.76-2.80, 2 Sm 2.83

theoretical density: 5.47 Mg/m³
ΔE_f (raw): -2.003 eV per atom
electronic total energy: -334.63 eV for the cell shown

Entry 4:
Here is Sm3Y2S8 after structural relaxation from Alexandria via LeMat-Bulk. Energies are from PBE.

a b c (Å): 13.8442 8.0565 6.8117
angles (deg): 90.00 110.50 90.00
Closest atoms and distances in Å follow each position.
Space group C2/m (No. 12)
Inequivalent atoms, fractional coordinates:
Sm (0.0000, 0.0000, 0.0000) [2 per cell]  6 S 2.77-2.84
Sm (0.0000, 0.2636, 0.5000) [4 per cell]  6 S 2.76-2.82
Y (0.2376, 0.5000, 0.1557) [4 per cell]  6 S 2.71-2.82
S (0.1185, 0.5000, 0.3977) [4 per cell]  1 Y 2.71, 2 Sm 2.76
S (0.1192, 0.0000, 0.4342) [4 per cell]  1 Y 2.80, 3 Sm 2.82-2.84
S (0.1272, 0.2335, 0.9164) [8 per cell]  2 Sm 2.77-2.78, 2 Y 2.80-2.82

theoretical density: 4.13 Mg/m³
ΔE_f (raw): -1.839 eV per atom
electronic total energy: -168.01 eV for the cell shown

Entry 5:
Here is Sm3YS6 after structural relaxation from Alexandria via LeMat-Bulk. Energies are from PBE.

a b c (Å): 11.6854 11.6854 13.8358
angles (deg): 90.00 90.00 120.00
Closest atoms and distances in Å follow each position.
Space group R-3 (No. 148, hexagonal axes)
Inequivalent atoms, fractional coordinates:
Sm (0.0489, 0.2700, 0.2030) [18 per cell]  6 S 2.78-2.87
Y (0.0000, 0.0000, 0.0000) [3 per cell]  6 S 2.70
Y (0.0000, 0.0000, 0.5000) [3 per cell]  6 S 2.74
S (0.0217, 0.2122, 0.3994) [18 per cell]  1 Y 2.74, 3 Sm 2.78-2.87
S (0.0312, 0.1920, 0.8761) [18 per cell]  1 Y 2.70, 3 Sm 2.79-2.85

theoretical density: 4.46 Mg/m³
ΔE_f (raw): -2.060 eV per atom
electronic total energy: -395.92 eV for the cell shown

Entry 6:
Here is Sm3Y2S4 after structural relaxation from Alexandria via LeMat-Bulk. Energies are from PBE.

a b c (Å): 6.7850 3.9171 16.2394
angles (deg): 90.00 90.03 90.00
Closest atoms and distances in Å follow each position.
Space group C2/m (No. 12)
Inequivalent atoms, fractional coordinates:
Sm (0.0000, 0.0000, 0.0000) [2 per cell]  6 S 2.84
Sm (0.1661, 0.5000, 0.5925) [4 per cell]  3 S 2.84
Y (0.1671, 0.5000, 0.2041) [4 per cell]  6 S 2.76-2.77
S (0.0006, 0.0000, 0.3013) [4 per cell]  3 Y 2.76, 3 Sm 2.84
S (0.1664, 0.5000, 0.8945) [4 per cell]  3 Y 2.77, 3 Sm 2.84

theoretical density: 5.83 Mg/m³
ΔE_f (raw): -1.761 eV per atom
electronic total energy: -118.89 eV for the cell shown